1.
First-principles (GGA-PBEsol) data for crystalline NbH3Ru at its relaxed geometry, as listed in Alexandria via LeMat-Bulk.

a b c (Å): 3.4229 3.4229 3.4229
angles (deg): 90.00 90.00 90.00
Fractional positions:
Ru 0.0000 0.0000 0.0000
Nb 0.5000 0.5000 0.5000
H 0.0000 0.5000 0.0000
H 0.0000 0.0000 0.5000
H 0.5000 0.0000 0.0000

Computed properties:
Its raw total energy is -6.114 eV/atom. As for the space group: No. 221. Its magnetic moment is 0.0 μB/f.u.



2.
First-principles (GGA-PBEsol) data for crystalline Mg14TiVO16 at its relaxed geometry, as listed in Alexandria via LeMat-Bulk.

a b c (Å): 4.2227 8.4912 8.4779
angles (deg): 90.00 90.00 90.00
Site moments in Bohr magnetons follow the coordinates.
Fractional positions:
Mg 0.0000 0.0000 0.5000  0.00
Mg 0.0000 0.5000 0.5000  0.00
Mg 0.5000 0.7522 0.0000  0.00
Mg 0.5000 0.2478 0.0000  0.00
Mg 0.5000 0.7503 0.5000  0.00
Mg 0.5000 0.2497 0.5000  0.00
Mg 0.5000 0.0000 0.7498  0.00
Mg 0.5000 0.5000 0.7478  0.00
Mg 0.5000 0.0000 0.2502  0.00
Mg 0.5000 0.5000 0.2522  0.00
Mg 0.0000 0.7502 0.7495  0.00
Mg 0.0000 0.2498 0.7495  0.00
Mg 0.0000 0.7502 0.2505  0.00
Mg 0.0000 0.2498 0.2505  0.00
Ti 0.0000 0.5000 0.0000  1.58
V 0.0000 0.0000 0.0000  2.50
O 0.0000 0.0000 0.7471  0.01
O 0.0000 0.5000 0.7434  0.01
O 0.0000 0.0000 0.2529  0.01
O 0.0000 0.5000 0.2566  0.01
O 0.5000 0.7500 0.7508  0.00
O 0.5000 0.2500 0.7508  0.00
O 0.5000 0.7500 0.2492  0.00
O 0.5000 0.2500 0.2492  0.00
O 0.5000 0.0000 0.0000  0.03
O 0.5000 0.5000 0.0000  -0.02
O 0.5000 0.0000 0.5000  0.00
O 0.5000 0.5000 0.5000  0.00
O 0.0000 0.7533 0.0000  0.02
O 0.0000 0.2467 0.0000  0.02
O 0.0000 0.7508 0.5000  0.00
O 0.0000 0.2492 0.5000  0.00

Computed properties:
As for the formation energy from raw total energies: -8032 kJ/mol of formula units. Its raw total energy is -6.539 eV/atom. As for the space group: No. 47. Its magnetic moment is 5.0 μB/f.u.



3.
First-principles (GGA-PBEsol) data for crystalline CaTc2As at its relaxed geometry, as listed in Alexandria via LeMat-Bulk.

a b c (Å): 3.1720 4.0731 5.8074
angles (deg): 90.00 92.34 90.00
Fractional positions:
As 0.6176 0.0000 0.4655
Ca 0.1405 0.5000 0.7138
Tc 0.0924 0.0000 0.1366
Tc 0.6494 0.5000 0.1840

Computed properties:
Its raw total energy is -7.383 eV/atom. The energy relative to the elements comes out at 60 meV/atom. As for the space group: No. 6. Its magnetic moment is 0.0 μB/f.u.



4.
First-principles (GGA-PBEsol) data for crystalline Be3WO at its relaxed geometry, as listed in Alexandria via LeMat-Bulk.

a b c (Å): 3.6108 3.6108 3.6108
angles (deg): 90.00 90.00 90.00
Site moments in Bohr magnetons follow the coordinates.
Fractional positions:
Be 0.0000 0.5000 0.0000  0.02
Be 0.0000 0.0000 0.5000  0.02
Be 0.5000 0.0000 0.0000  0.02
O 0.0000 0.0000 0.0000  0.18
W 0.5000 0.5000 0.5000  0.57

Computed properties:
As for the formation energy from raw total energies: 0 kJ/mol of formula units. Its raw total energy is -6.211 eV/atom. As for the space group: No. 221. Its magnetic moment is 1.0 μB/f.u.



5.
First-principles (GGA-PBEsol) data for crystalline TaBiAs2Se at its relaxed geometry, as listed in Alexandria via LeMat-Bulk.

a b c (Å): 5.1967 5.1967 5.2258
angles (deg): 90.00 90.00 90.00
Site moments in Bohr magnetons follow the coordinates.
Fractional positions:
As 0.0000 0.5000 0.0000  -0.14
As 0.5000 0.0000 0.0000  -0.14
Bi 0.0000 0.0000 0.0000  0.00
Se 0.0000 0.0000 0.5000  -0.13
Ta 0.5000 0.5000 0.5000  1.67

Computed properties:
As for the formation energy from raw total energies: 810 kJ/mol of formula units. Its raw total energy is -4.500 eV/atom. As for the space group: No. 123. Its magnetic moment is 1.8 μB/f.u.



6.
First-principles (GGA-PBEsol) data for crystalline BaAg2Bi2 at its relaxed geometry, as listed in Alexandria via LeMat-Bulk.

a b c (Å): 4.7786 4.7786 7.1603
angles (deg): 109.49 109.49 90.00
Fractional positions:
Bi 0.3758 0.3758 0.7516
Bi 0.6242 0.6242 0.2484
Ag 0.2500 0.7500 0.5000
Ag 0.7500 0.2500 0.5000
Ba 0.0000 0.0000 0.0000

Computed properties:
Its raw total energy is -3.828 eV/atom. The energy relative to the elements comes out at -359 meV/atom. As for the space group: No. 139. Its magnetic moment is 0.0 μB/f.u.